# Rb2CuNiI6

A geometry-optimized Rb2CuNiI6 structure (PBE, the Alexandria database).

Calculated values
ρ = 4.53 g/cm³
density of states at the Fermi level = 3.91 states/eV/f.u.
E above lowest polymorph = 0.0 meV/atom
DFT total energy = -27.251 eV per cell

Unit cell a=7.603 b=7.603 c=9.146 alpha=121.23 beta=121.23 gamma=75.23
Positions (direct):
Rb  0.250  0.750  0.000
Rb  0.750  0.250  0.000
Cu  0.456  0.456  0.416
Ni  0.986  0.986  0.472
I  0.208  0.208  0.488
I  0.277  0.277  0.054
I  0.330  0.785  0.616
I  0.782  0.782  0.491
I  0.785  0.330  0.616
I  0.796  0.796  0.092


# Rb2CuNiI6

A geometry-optimized Rb2CuNiI6 structure (PBE, the Alexandria database).

Calculated values
ρ = 4.71 g/cm³
density of states at the Fermi level = 6.73 states/eV/f.u.
E above lowest polymorph = 12.7 meV/atom
DFT total energy = -27.124 eV per cell

Unit cell a=8.063 b=8.063 c=8.063 alpha=119.85 beta=119.85 gamma=90.26
Positions (direct):
Rb  0.250  0.750  0.500
Rb  0.750  0.250  0.500
Cu  0.000  0.000  0.000
Ni  0.500  0.500  0.000
I  0.222  0.222  0.000
I  0.273  0.273  0.546
I  0.273  0.727  0.000
I  0.727  0.273  0.000
I  0.727  0.727  0.454
I  0.778  0.778  0.000


# CuNiSbI2

A geometry-optimized CuNiSbI2 structure (PBE, the Alexandria database).

Calculated values
ρ = 5.65 g/cm³
density of states at the Fermi level = 9.99 states/eV/f.u.
E above lowest polymorph = 305.1 meV/atom
DFT total energy = -12.626 eV per cell

Unit cell a=5.394 b=5.394 c=5.031 alpha=90.00 beta=90.00 gamma=90.00
Positions (direct):
Cu  0.000  0.000  0.000
Ni  0.500  0.500  0.500
Sb  0.000  0.000  0.500
I  0.000  0.500  0.000
I  0.500  0.000  0.000


# CuNiSbI2

A geometry-optimized CuNiSbI2 structure (PBE, the Alexandria database).

Calculated values
ρ = 5.84 g/cm³
density of states at the Fermi level = 2.50 states/eV/f.u.
E above lowest polymorph = 0.0 meV/atom
DFT total energy = -14.152 eV per cell

Unit cell a=5.430 b=5.430 c=4.799 alpha=90.00 beta=90.00 gamma=90.00
Positions (direct):
Cu  0.000  0.000  0.000
Ni  0.500  0.500  0.500
Sb  0.500  0.500  0.000
I  0.000  0.500  0.500
I  0.500  0.000  0.500


# Cu2NiWI

A geometry-optimized Cu2NiWI structure (PBE, the Alexandria database).

Calculated values
ρ = 7.56 g/cm³
density of states at the Fermi level = 5.02 states/eV/f.u.
DFT total energy = -17.704 eV per cell

Unit cell a=4.677 b=4.677 c=4.988 alpha=90.00 beta=90.00 gamma=90.00
Positions (direct):
Cu  0.000  0.500  0.000
Cu  0.500  0.000  0.000
Ni  0.000  0.000  0.500
W  0.500  0.500  0.500
I  0.500  0.500  0.000


# NpCu3I9

A geometry-optimized NpCu3I9 structure (PBE, the Alexandria database).

Calculated values
ρ = 4.62 g/cm³
density of states at the Fermi level = 16.05 states/eV/f.u.
DFT total energy = -86.931 eV per cell

Unit cell a=11.039 b=11.039 c=14.408 alpha=123.15 beta=123.15 gamma=54.73
Positions (direct):
Np  0.219  0.781  0.500
Np  0.781  0.219  0.000
Cu  0.193  0.349  0.775
Cu  0.349  0.193  0.275
Cu  0.573  0.724  0.342
Cu  0.724  0.573  0.842
Cu  0.733  0.985  0.163
Cu  0.985  0.733  0.663
I  0.022  0.454  0.891
I  0.081  0.915  0.683
I  0.105  0.187  0.075
I  0.187  0.105  0.575
I  0.216  0.475  0.425
I  0.242  0.526  0.750
I  0.334  0.686  0.316
I  0.454  0.022  0.391
I  0.475  0.216  0.925
I  0.526  0.242  0.250
I  0.555  0.661  0.651
I  0.582  0.818  0.983
I  0.661  0.555  0.151
I  0.686  0.334  0.816
I  0.818  0.582  0.483
I  0.853  0.897  0.828
I  0.897  0.853  0.328
I  0.915  0.081  0.183


# NpCuI5

A geometry-optimized NpCuI5 structure (PBE, the Alexandria database).

Calculated values
ρ = 4.87 g/cm³
density of states at the Fermi level = 7.89 states/eV/f.u.
DFT total energy = -57.386 eV per cell

Unit cell a=7.991 b=7.991 c=11.381 alpha=110.31 beta=110.31 gamma=86.89
Positions (direct):
Np  0.000  0.500  0.000
Np  0.500  0.000  0.500
Cu  0.133  0.867  0.750
Cu  0.867  0.133  0.250
I  0.154  0.174  0.458
I  0.171  0.591  0.831
I  0.174  0.154  0.958
I  0.334  0.666  0.250
I  0.409  0.829  0.669
I  0.591  0.171  0.331
I  0.666  0.334  0.750
I  0.826  0.846  0.042
I  0.829  0.409  0.169
I  0.846  0.826  0.542


# NpCuI

A geometry-optimized NpCuI structure (PBE, the Alexandria database).

Calculated values
ρ = 8.80 g/cm³
density of states at the Fermi level = 2.64 states/eV/f.u.
DFT total energy = -36.688 eV per cell

Unit cell a=4.818 b=4.818 c=9.843 alpha=99.87 beta=99.87 gamma=45.90
Positions (direct):
Np  0.153  0.153  0.479
Np  0.847  0.847  0.521
Cu  0.418  0.418  0.316
Cu  0.582  0.582  0.684
I  0.322  0.322  0.805
I  0.678  0.678  0.195


Please write out number 3 again, unchanged.
# CuNiSbI2

A geometry-optimized CuNiSbI2 structure (PBE, the Alexandria database).

Calculated values
ρ = 5.65 g/cm³
density of states at the Fermi level = 9.99 states/eV/f.u.
E above lowest polymorph = 305.1 meV/atom
DFT total energy = -12.626 eV per cell

Unit cell a=5.394 b=5.394 c=5.031 alpha=90.00 beta=90.00 gamma=90.00
Positions (direct):
Cu  0.000  0.000  0.000
Ni  0.500  0.500  0.500
Sb  0.000  0.000  0.500
I  0.000  0.500  0.000
I  0.500  0.000  0.000